Here is TbIn4Pd4 after structural relaxation from the Alexandria database. Energies are from PBE-GGA.

a b c (Å): 5.439 8.760 8.760
angles (deg): 90.00 90.00 90.00
Atoms (fractional coordinates):
In1 0.096 0.833 0.394
Tb1 0.000 0.000 0.000
Pd1 0.594 0.209 0.632
In2 0.404 0.667 0.106
In3 0.096 0.167 0.606
In4 0.904 0.606 0.833
Pd2 0.094 0.868 0.709
In5 0.904 0.394 0.167
Pd3 0.406 0.632 0.791
In6 0.596 0.106 0.333
In7 0.404 0.333 0.894
Tb2 0.500 0.500 0.500
Pd4 0.906 0.291 0.868
In8 0.596 0.894 0.667
Pd5 0.594 0.791 0.368
Pd6 0.094 0.132 0.291
Pd7 0.906 0.709 0.132
Pd8 0.406 0.368 0.209

Its space group is No. 86. The density of states at the Fermi level is 5.43 states/eV/f.u. The size of the total moment is 0.0 Bohr magnetons per cell. Its energy of formation from the pure elements is -378 meV per atom.

=====

Here is Y3CoNi2 after structural relaxation from the Alexandria database. Energies are from PBE-GGA.

a b c (Å): 3.897 11.407 11.127
angles (deg): 90.00 90.00 90.00
Atoms (fractional coordinates):
Ni1 0.750 0.189 0.025
Y1 0.750 0.623 0.942
Ni2 0.750 0.311 0.525
Ni3 0.250 0.689 0.475
Co1 0.750 0.631 0.374
Co2 0.250 0.131 0.126
Y2 0.750 0.302 0.791
Y3 0.750 0.556 0.619
Y4 0.250 0.444 0.381
Ni4 0.750 0.512 0.193
Ni5 0.250 0.811 0.975
Y5 0.750 0.198 0.291
Ni6 0.250 0.488 0.807
Y6 0.250 0.123 0.558
Y7 0.250 0.698 0.209
Co3 0.250 0.369 0.626
Y8 0.750 0.944 0.119
Y9 0.250 0.377 0.058
Y10 0.250 0.056 0.881
Y11 0.250 0.802 0.709
Ni7 0.750 0.988 0.693
Ni8 0.250 0.012 0.307
Y12 0.750 0.877 0.442
Co4 0.750 0.869 0.874

Its space group is No. 62. The density of states at the Fermi level is 5.78 states/eV/f.u. The size of the total moment is 0.0 Bohr magnetons per cell. Its energy of formation from the pure elements is -317 meV per atom.

=====

Here is U2Sn7Bi after structural relaxation from the Alexandria database. Energies are from PBE-GGA.

a b c (Å): 5.618 8.573 8.573
angles (deg): 121.88 90.00 90.00
Each line ends with the local moment (μB).
Atoms (fractional coordinates):
Sn1 0.500 0.719 0.920  0.00
Sn2 0.500 0.500 0.500  -0.03
U1 0.500 0.715 0.285  2.50
Bi1 0.000 0.000 0.000  0.05
Sn3 0.500 0.281 0.080  0.00
Sn4 0.000 0.796 0.204  0.01
U2 0.500 0.285 0.715  2.50
Sn5 0.500 0.920 0.719  0.00
Sn6 0.500 0.080 0.281  0.00
Sn7 0.000 0.204 0.796  0.01

Its space group is No. 65. The density of states at the Fermi level is 17.98 states/eV/f.u. The size of the total moment is 5.6 Bohr magnetons per cell. Its energy of formation from the pure elements is 449 meV per atom.

=====

Here is NiHgRh2 after structural relaxation from the Alexandria database. Energies are from PBE-GGA.

a b c (Å): 2.826 2.826 7.552
angles (deg): 90.00 90.00 90.00
Atoms (fractional coordinates):
Rh1 0.500 0.500 0.225
Rh2 0.000 0.000 0.990
Hg1 0.000 0.000 0.513
Ni1 0.500 0.500 0.773

Its space group is No. 99. The density of states at the Fermi level is 6.00 states/eV/f.u. The size of the total moment is 0.0 Bohr magnetons per cell. Its energy of formation from the pure elements is 170 meV per atom.

=====

Which value of size of the total moment does entry 2 give? 0.0 Bohr magnetons per cell

=====

What is the size of the total moment in the second record? 0.0 Bohr magnetons per cell

=====

energy of formation from the pure elements of number 2 (Y3CoNi2)? -317 meV per atom

=====

Number 2 is which compound? Y3CoNi2